[1]
This record from Alexandria describes an optimized crystal structure of Li2NdScPd4. The functional is PBE.

crystal system = trigonal
N(E_F) = 0.55 states/eV per atom
E = -5.11 eV per atom
space-group type = No. 166
energy relative to the elements = -503 kJ/mol of formula units

abc: 4.4253 4.4253 8.8896
angles: 75.59 75.59 60.00
Closest atoms and distances in Å follow each position.
Sites, in units of the cell vectors:
Li (0.7602, 0.7602, 0.7195)  7 Pd 2.68-2.91
Li (0.2398, 0.2398, 0.2805)  7 Pd 2.68-2.91
Nd (0.0000, 0.0000, 0.0000)  8 Pd 3.01-3.21
Sc (0.5000, 0.5000, 0.5000)  8 Pd 2.67-2.76
Pd (0.3953, 0.3953, 0.8141)  1 Sc 2.67, 3 Li 2.68
Pd (0.8742, 0.8742, 0.3773)  4 Li 2.68-2.91, 3 Sc 2.76
Pd (0.1258, 0.1258, 0.6227)  4 Li 2.68-2.91, 3 Sc 2.76
Pd (0.6047, 0.6047, 0.1859)  1 Sc 2.67, 3 Li 2.68

=====

[2]
This record from Alexandria describes an optimized crystal structure of SrGe3W. The functional is PBE.

energy above the lowest structure with this stoichiometry = 2420.0 meV/atom
crystal system = cubic
N(E_F) = 2.13 states/eV per atom
E = -3.32 eV per atom
space-group type = No. 221
energy relative to the elements = 1149 kJ/mol of formula units

abc: 5.2219 5.2219 5.2219
angles: 90.00 90.00 90.00
Closest atoms and distances in Å follow each position.
Sites, in units of the cell vectors:
Sr (0.0000, 0.0000, 0.0000)  6 Ge 2.61
Ge (0.0000, 0.5000, 0.0000)  2 Sr 2.61
Ge (0.0000, 0.0000, 0.5000)  2 Sr 2.61
Ge (0.5000, 0.0000, 0.0000)  2 Sr 2.61
W (0.5000, 0.5000, 0.5000)  12 Ge 3.69

=====

[3]
This record from Alexandria describes an optimized crystal structure of LiMgBi. The functional is PBE.

crystal system = tetragonal
N(E_F) = 0.29 states/eV per atom
E = -2.69 eV per atom
space-group type = No. 107
energy relative to the elements = -66 kJ/mol of formula units

abc: 4.1149 4.1149 5.2022
angles: 113.30 113.30 90.00
Closest atoms and distances in Å follow each position.
Sites, in units of the cell vectors:
Mg (0.6070, 0.6070, 0.2141)  1 Li 2.76, 1 Bi 3.01
Bi (0.9560, 0.9560, 0.9119)  1 Li 2.86, 5 Mg 3.01-3.19
Li (0.2870, 0.2870, 0.5740)  1 Mg 2.76, 1 Bi 2.86

=====

Q: The lowest N(E_F) belongs to which entry?
A: LiMgBi